Record 1
The following is a DFT calculation (PBE-GGA) of a relaxed structure of AcMg3Pd2.

ΔH_f (0 K)	-0.56	eV per atom
electronic total energy	-3.7702	eV/atom
M_tot	0.00	μB/f.u.
density	6.1	g/cm³

Cell: 16.6260 4.3525 8.7621 Å, 90.00 119.04 90.00°
Space group C2/m (No. 12)
Asymmetric unit:
Ac 0.1429 0.0000 0.0725 [4 per cell]
Mg 0.0399 0.0000 0.3726 [4 per cell]
Mg 0.1043 0.5000 0.6988 [4 per cell]
Mg 0.1819 0.5000 0.4527 [4 per cell]
Pd 0.0119 0.5000 0.1676 [4 per cell]
Pd 0.1984 0.0000 0.6803 [4 per cell]

Record 2
The following is a DFT calculation (PBE-GGA) of a relaxed structure of CuAgIr4.

ΔH_f (0 K)	0.61	eV per atom
electronic total energy	-6.4569	eV/atom
M_tot	2.52	μB/f.u.
density	15.8	g/cm³

Cell: 7.3374 7.3374 7.3374 Å, 90.00 90.00 90.00°
Space group F-43m (No. 216)
Asymmetric unit:
Cu 0.0000 0.0000 0.0000 [4 per cell]
Ag 0.2500 0.2500 0.2500 [4 per cell]
Ir 0.1252 0.1252 0.6252 [16 per cell]

Record 3
The following is a DFT calculation (PBE-GGA) of a relaxed structure of Hf2ZnOs.

ΔH_f (0 K)	-0.45	eV per atom
electronic total energy	-8.5527	eV/atom
M_tot	0.00	μB/f.u.
density	14.4	g/cm³

Cell: 3.2541 3.2541 6.6688 Å, 90.00 90.00 90.00°
Space group P4/mmm (No. 123)
Asymmetric unit:
Hf 0.0000 0.0000 0.2440 [2 per cell]
Zn 0.5000 0.5000 0.5000 [1 per cell]
Os 0.5000 0.5000 0.0000 [1 per cell]